# 1
Below is crystalline CaNi3Pd at its relaxed geometry, with properties calculated at the PBE level.

The value obtained for the raw total energy is -17.21 eV/f.u. Its total magnetization is 0.1 μB/cell. The space-group type is No. 221. The crystal system is cubic.

Cell: 4.4364 4.4364 4.4364 Å, 90.00 90.00 90.00°
With the nearest neighbours (Å) after each atom.
Element x y z (fractional)
Ni  0.0000  0.5000  0.0000  2 Ca 2.22
Ni  0.0000  0.0000  0.5000  2 Ca 2.22
Ni  0.5000  0.0000  0.0000  2 Ca 2.22
Ca  0.0000  0.0000  0.0000  6 Ni 2.22
Pd  0.5000  0.5000  0.5000  12 Ni 3.14

---

# 2
Below is crystalline Rb4Nd3ErO8 at its relaxed geometry, with properties calculated at the PBE level.

The raw formation energy is -2.588 eV per atom. Its total magnetization is 0.0 μB/cell. The space-group type is No. 166. The crystal system is trigonal.

Cell: 7.2448 7.8132 7.2447 Å, 117.63 120.00 90.00°
With the nearest neighbours (Å) after each atom.
Element x y z (fractional)
Rb  0.5000  0.0000  0.0000  6 O 3.03
Rb  0.5000  0.0000  0.5000  6 O 2.96-2.97
Rb  0.0000  0.0000  0.0000  6 O 2.96-2.97
Rb  0.0000  0.0000  0.5000  6 O 2.96-2.97
Nd  0.5000  0.5000  0.0000  6 O 2.41-2.43
Nd  0.5000  0.5000  0.5000  6 O 2.41-2.43
Nd  0.0000  0.5000  0.5000  6 O 2.41-2.43
Er  0.0000  0.5000  0.0000  6 O 2.34
O  0.2206  0.6783  0.9578  1 Er 2.34, 2 Nd 2.43
O  0.2206  0.6783  0.4411  1 Er 2.34, 2 Nd 2.43
O  0.2729  0.3187  0.5457  3 Nd 2.41
O  0.7372  0.6783  0.9578  1 Er 2.34, 2 Nd 2.43
O  0.2628  0.3217  0.0422  1 Er 2.34, 2 Nd 2.43
O  0.7271  0.6813  0.4543  3 Nd 2.41
O  0.7794  0.3217  0.5589  1 Er 2.34, 2 Nd 2.43
O  0.7794  0.3217  0.0422  1 Er 2.34, 2 Nd 2.43